Density functional theory data (PBE) for crystalline GdHoMgPt at its relaxed geometry.

Total magnetic moment ... 7.11 μB/f.u.
Space-group type ... No. 216
DFT formation energy ... -588 meV per atom
Calculated density ... 9.6 Mg/m³

Unit cell a=5.0976 b=5.0976 c=5.0976 alpha=60.00 beta=60.00 gamma=60.00
With the nearest neighbours (Å) after each atom.
Positions (direct):
Mg 0.5000 0.5000 0.5000  4 Gd 3.12, 4 Ho 3.12
Gd 0.7500 0.7500 0.7500  4 Mg 3.12, 4 Pt 3.12
Ho 0.2500 0.2500 0.2500  4 Mg 3.12, 4 Pt 3.12
Pt 0.0000 0.0000 0.0000  4 Ho 3.12, 4 Gd 3.12



Density functional theory data (PBE) for crystalline LaSiP3 at its relaxed geometry.

Total magnetic moment ... 0.00 μB/f.u.
Space-group type ... No. 221
Excess energy over the best structure of this formula in the dataset ... 483 meV/atom
Calculated density ... 4.3 Mg/m³

Unit cell a=4.6402 b=4.6402 c=4.6402 alpha=90.00 beta=90.00 gamma=90.00
With the nearest neighbours (Å) after each atom.
Positions (direct):
P 0.0000 0.5000 0.0000  2 Si 2.32
P 0.0000 0.0000 0.5000  2 Si 2.32
P 0.5000 0.0000 0.0000  2 Si 2.32
Si 0.0000 0.0000 0.0000  6 P 2.32
La 0.5000 0.5000 0.5000  12 P 3.28



Density functional theory data (PBE) for crystalline CaPuAlZn at its relaxed geometry.

Total magnetic moment ... 5.66 μB/f.u.
Space-group type ... No. 216
DFT formation energy ... -98 meV per atom
Calculated density ... 6.5 Mg/m³

Unit cell a=5.1528 b=5.1528 c=5.1528 alpha=60.00 beta=60.00 gamma=60.00
With the nearest neighbours (Å) after each atom.
Positions (direct):
Zn 0.0000 0.0000 0.0000  4 Ca 3.16, 4 Pu 3.16
Al 0.5000 0.5000 0.5000  4 Ca 3.16, 4 Pu 3.16
Ca 0.2500 0.2500 0.2500  4 Al 3.16, 4 Zn 3.16
Pu 0.7500 0.7500 0.7500  4 Al 3.16, 4 Zn 3.16



Density functional theory data (PBE) for crystalline SrCa2NdTe4 at its relaxed geometry.

Total energy ... -35.73 eV/cell
Total magnetic moment ... 0.00 μB/f.u.
Space-group type ... No. 10
Calculated density ... 5.1 Mg/m³

Unit cell a=4.5409 b=7.8974 c=7.9271 alpha=70.71 beta=90.00 gamma=90.00
With the nearest neighbours (Å) after each atom.
Positions (direct):
Sr 0.5000 0.5000 0.0000  6 Te 3.28
Ca 0.0000 0.0000 0.0000  6 Te 3.22-3.23
Ca 0.5000 0.0000 0.5000  6 Te 3.17
Nd 0.0000 0.5000 0.5000  6 Te 3.23
Te 0.0000 0.7591 0.7413  3 Ca 3.17-3.23, 1 Nd 3.23, 2 Sr 3.28
Te 0.0000 0.2409 0.2587  3 Ca 3.17-3.23, 1 Nd 3.23, 2 Sr 3.28
Te 0.5000 0.7558 0.2529  3 Ca 3.17-3.22, 2 Nd 3.23, 1 Sr 3.28
Te 0.5000 0.2442 0.7471  3 Ca 3.17-3.22, 2 Nd 3.23, 1 Sr 3.28



Density functional theory data (PBE) for crystalline Dy3Y6TmTh2 at its relaxed geometry.

Total magnetic moment ... 0.00 μB/f.u.
Space-group type ... No. 12
DFT formation energy ... 24 meV per atom
Calculated density ... 7.2 Mg/m³

Unit cell a=6.1678 b=6.1678 c=11.7923 alpha=95.01 beta=95.01 gamma=119.97
With the nearest neighbours (Å) after each atom.
Positions (direct):
Dy 0.1664 0.8336 0.5000  6 Dy 3.55-3.57, 6 Y 3.57-3.59
Dy 0.8336 0.1664 0.5000  6 Dy 3.55-3.57, 6 Y 3.57-3.59
Dy 0.5000 0.5000 0.5000  6 Dy 3.56, 6 Y 3.57-3.58
Y 0.9171 0.5811 0.7525  2 Th 3.53, 1 Tm 3.54, 6 Y 3.55-3.59, 3 Dy 3.57-3.59
Y 0.7466 0.7466 0.2479  2 Th 3.53, 6 Y 3.55-3.59, 1 Tm 3.55, 3 Dy 3.57-3.58
Y 0.0829 0.4189 0.2475  2 Th 3.53, 1 Tm 3.54, 6 Y 3.55-3.59, 3 Dy 3.57-3.59
Y 0.5811 0.9171 0.7525  2 Th 3.53, 1 Tm 3.54, 6 Y 3.55-3.59, 3 Dy 3.57-3.59
Y 0.2534 0.2534 0.7521  2 Th 3.53, 6 Y 3.55-3.59, 1 Tm 3.55, 3 Dy 3.57-3.58
Y 0.4189 0.0829 0.2475  2 Th 3.53, 1 Tm 3.54, 6 Y 3.55-3.59, 3 Dy 3.57-3.59
Tm 0.0000 0.0000 0.0000  6 Y 3.54-3.55, 6 Th 3.56
Th 0.3334 0.6666 0.0000  6 Y 3.53, 3 Th 3.56, 3 Tm 3.56
Th 0.6666 0.3334 0.0000  6 Y 3.53, 3 Th 3.56, 3 Tm 3.56



Density functional theory data (PBE) for crystalline Mg2PbSe at its relaxed geometry.

Total magnetic moment ... 0.00 μB/f.u.
Space-group type ... No. 38
Excess energy over the best structure of this formula in the dataset ... 0 meV/atom
Calculated density ... 5.7 Mg/m³

Unit cell a=3.7950 b=3.7950 c=7.7847 alpha=89.99 beta=89.99 gamma=59.87
With the nearest neighbours (Å) after each atom.
Positions (direct):
Mg 0.1250 0.1250 0.7909  3 Se 2.73
Mg 0.1252 0.1252 0.2091  3 Se 2.73
Pb 0.4578 0.4578 0.5000  6 Mg 3.15
Se 0.7920 0.7920 0.0000  6 Mg 2.73



Density functional theory data (PBE) for crystalline Li2CaErAu4 at its relaxed geometry.

Total magnetic moment ... 0.00 μB/f.u.
Space-group type ... No. 166
DFT formation energy ... -688 meV per atom
Calculated density ... 10.1 Mg/m³

Unit cell a=4.6411 b=4.6411 c=9.2556 alpha=75.48 beta=75.48 gamma=60.00
With the nearest neighbours (Å) after each atom.
Positions (direct):
Li 0.7511 0.7511 0.7467  6 Au 2.77-2.81
Li 0.2489 0.2489 0.2533  6 Au 2.77-2.81
Ca 0.0000 0.0000 0.0000  8 Au 3.08-3.10
Er 0.5000 0.5000 0.5000  8 Au 2.90-2.99
Au 0.3908 0.3908 0.8277  3 Li 2.77, 1 Er 2.90, 3 Ca 3.08, 3 Au 3.11
Au 0.8834 0.8834 0.3498  3 Li 2.81, 3 Er 2.99, 1 Ca 3.10, 3 Au 3.11
Au 0.1166 0.1166 0.6502  3 Li 2.81, 3 Er 2.99, 1 Ca 3.10, 3 Au 3.11
Au 0.6092 0.6092 0.1723  3 Li 2.77, 1 Er 2.90, 3 Ca 3.08, 3 Au 3.11



Density functional theory data (PBE) for crystalline CaSm2SnO6 at its relaxed geometry.

Total energy ... -73.30 eV/cell
Total magnetic moment ... 0.00 μB/f.u.
Space-group type ... No. 146
Calculated density ... 6.3 Mg/m³

Unit cell a=5.8219 b=5.8219 c=6.0406 alpha=61.19 beta=61.19 gamma=60.00
With the nearest neighbours (Å) after each atom.
Positions (direct):
Ca 0.8073 0.8073 0.5780  6 O 2.29-2.44
Sm 0.5315 0.5315 0.4055  6 O 2.34-2.44
Sm 0.0295 0.0295 0.9114  6 O 2.29-2.49
Sn 0.3160 0.3160 0.0520  6 O 2.10-2.15
O 0.5867 0.2021 0.2518  1 Sn 2.10, 1 Sm 2.34
O 0.2021 0.9594 0.2518  1 Sn 2.10, 1 Sm 2.34
O 0.9594 0.5867 0.2519  1 Sn 2.10, 1 Sm 2.34
O 0.4229 0.6806 0.7709  1 Sn 2.15, 1 Ca 2.29, 1 Sm 2.29
O 0.6806 0.1257 0.7709  1 Sn 2.15, 1 Ca 2.29, 1 Sm 2.29
O 0.1257 0.4229 0.7709  1 Sn 2.15, 1 Ca 2.29, 1 Sm 2.29